# 1
UAlTc: relaxed, PBE.

a b c (Å): 4.445 4.445 4.445
angles (deg): 60.00 60.00 60.00
Atoms (fractional coordinates):
Al  0.000  0.000  0.000
Tc  0.250  0.250  0.250
U  0.750  0.750  0.750

Computed properties:
**Calculated total energy**: -23.5 eV per cell
**Mass density**: 9.71 Mg/m³
**Space-group type**: F-43m (216)


# 2
PrCdNO: relaxed, PBE.

a b c (Å): 6.422 8.381 5.208
angles (deg): 90.00 90.00 90.00
Atoms (fractional coordinates):
Cd  0.562  0.374  0.035
Pr  0.945  0.857  0.541
Pr  0.555  0.857  0.041
Cd  0.438  0.626  0.535
Pr  0.055  0.143  0.041
O  0.093  0.605  0.577
Cd  0.062  0.626  0.035
Cd  0.938  0.374  0.535
N  0.075  0.128  0.550
O  0.407  0.605  0.077
Pr  0.445  0.143  0.541
O  0.593  0.395  0.577
N  0.925  0.872  0.050
N  0.425  0.128  0.050
O  0.907  0.395  0.077
N  0.575  0.872  0.550

Computed properties:
**Calculated total energy**: -95.1 eV per cell
**Mass density**: 6.71 Mg/m³
**Space-group type**: Pca2_1 (29)


# 3
BaPrInSe3: relaxed, PBE.

a b c (Å): 8.036 8.036 10.686
angles (deg): 90.00 90.00 147.81
Atoms (fractional coordinates):
Se  0.637  0.363  0.460
Ba  0.239  0.761  0.250
Pr  0.000  0.000  0.500
In  0.519  0.481  0.250
Se  0.363  0.637  0.540
Ba  0.761  0.239  0.750
Se  0.637  0.363  0.040
Pr  0.000  0.000  0.000
Se  0.363  0.637  0.960
In  0.481  0.519  0.750
Se  0.892  0.108  0.250
Se  0.108  0.892  0.750

Computed properties:
**Calculated total energy**: -55.5 eV per cell
**Mass density**: 5.69 Mg/m³
**Space-group type**: Cmcm (63)


# 4
Lu2Ag2O5: relaxed, PBE.

a b c (Å): 8.328 3.993 3.993
angles (deg): 90.00 90.00 90.00
Atoms (fractional coordinates):
Ag  0.000  0.000  0.000
O  0.500  0.500  0.500
Ag  0.500  0.000  0.000
Lu  0.752  0.500  0.500
O  0.836  0.000  0.500
O  0.836  0.500  0.000
Lu  0.248  0.500  0.500
O  0.164  0.000  0.500
O  0.164  0.500  0.000

Computed properties:
**Calculated total energy**: -54.9 eV per cell
**Mass density**: 8.07 Mg/m³
**Space-group type**: P4/mmm (123)


# 5
Re2TeS3: relaxed, PBE.

a b c (Å): 6.533 6.672 6.989
angles (deg): 90.41 104.82 118.03
Atoms (fractional coordinates):
S  0.735  0.099  0.758
Te  0.229  0.605  0.751
Re  0.063  0.824  0.489
S  0.254  0.375  0.337
S  0.732  0.855  0.263
Te  0.771  0.395  0.249
S  0.265  0.901  0.242
Re  0.509  0.211  0.503
Re  0.491  0.789  0.497
S  0.268  0.145  0.737
Re  0.937  0.176  0.511
S  0.746  0.625  0.663

Computed properties:
**Calculated total energy**: -85.9 eV per cell
**Mass density**: 7.70 Mg/m³
**Space-group type**: P-1 (2)


# 6
Ba3Er2PtAu2O10: relaxed, PBE.

a b c (Å): 7.039 7.039 7.756
angles (deg): 107.29 107.29 49.09
Atoms (fractional coordinates):
Er  0.687  0.687  0.372
O  0.757  0.294  0.209
O  0.452  0.924  0.611
O  0.669  0.669  0.063
O  0.924  0.452  0.611
O  0.076  0.548  0.389
O  0.548  0.076  0.389
Au  0.417  0.417  0.313
Au  0.583  0.583  0.687
O  0.331  0.331  0.937
Pt  0.500  0.500  0.000
Ba  0.000  0.000  0.500
Er  0.313  0.313  0.628
O  0.294  0.757  0.209
Ba  0.843  0.843  0.950
O  0.706  0.243  0.791
Ba  0.157  0.157  0.050
O  0.243  0.706  0.791

Computed properties:
**Calculated total energy**: -112.4 eV per cell
**Mass density**: 9.05 Mg/m³
**Space-group type**: C2/m (12)